Run a
VASP calculation (PBE) on crystalline Rb2Al2As at its relaxed geometry.

* V: 36.27 Å³/atom
* density of states at the Fermi level: 8.7 states/eV per cell
* size of the total moment: 0.000 μB per atom

Cell lengths 11.0517, 11.0517, 2.9697 Å; angles 90.00, 90.00, 90.00 degrees
Last column: nearest neighbours and their distance in Å.
Fractional coordinates of all 10 atoms:
Rb (0.2096, 0.2904, 0.0000)  2 Rb 2.97
Rb (0.2904, 0.7904, 0.0000)  2 Rb 2.97
Rb (0.7096, 0.2096, 0.0000)  2 Rb 2.97
Rb (0.7904, 0.7096, 0.0000)  2 Rb 2.97
Al (0.0813, 0.5813, 0.5000)  1 Al 2.54
Al (0.4187, 0.0813, 0.5000)  1 Al 2.54
Al (0.5813, 0.9187, 0.5000)  1 Al 2.54
Al (0.9187, 0.4187, 0.5000)  1 Al 2.54
As (0.0000, 0.0000, 0.0000)  2 As 2.97
As (0.5000, 0.5000, 0.0000)  2 As 2.97

Run b
VASP calculation (PBE) on crystalline Rb2Al2As at its relaxed geometry.

* V: 33.64 Å³/atom
* density of states at the Fermi level: 2.3 states/eV per cell
* size of the total moment: 0.000 μB per atom

Cell lengths 12.1036, 12.1036, 12.1036 Å; angles 162.06, 162.06, 25.48 degrees
Last column: nearest neighbours and their distance in Å.
Fractional coordinates of all 5 atoms:
Rb (0.0972, 0.0972, 0.0000)  4 As 3.52, 4 Rb 3.77
Rb (0.9028, 0.9028, 0.0000)  4 As 3.52, 4 Rb 3.77
Al (0.2500, 0.7500, 0.5000)  4 Al 2.67
Al (0.7500, 0.2500, 0.5000)  4 Al 2.67
As (0.5000, 0.5000, 0.0000)  8 Rb 3.52, 4 As 3.77

It is run b that is the most stable of them.

Run a
VASP calculation (PBE) on crystalline RbAlAs at its relaxed geometry.

* V: 29.94 Å³/atom
* density of states at the Fermi level: 0.0 states/eV per cell
* size of the total moment: 0.000 μB per atom

Cell lengths 4.1386, 5.7915, 8.1771 Å; angles 100.40, 90.05, 110.89 degrees
Last column: nearest neighbours and their distance in Å.
Fractional coordinates of all 6 atoms:
Rb (0.0000, 0.0000, 0.0000)  2 Al 3.36-3.69, 3 As 3.44-3.57, 1 Rb 3.59
Rb (0.3029, 0.6026, 0.2764)  3 As 3.20-3.30, 2 Al 3.57
Al (0.0483, 0.0918, 0.5643)  3 As 2.60, 1 Al 2.84
Al (0.8004, 0.5958, 0.6316)  3 As 2.57, 1 Al 2.84
As (0.2517, 0.4981, 0.7943)  3 Al 2.57-2.60
As (0.6024, 0.2007, 0.4002)  3 Al 2.57-2.60

Run b
VASP calculation (PBE) on crystalline RbAlAs at its relaxed geometry.

* V: 28.76 Å³/atom
* density of states at the Fermi level: 0.0 states/eV per cell
* size of the total moment: 0.000 μB per atom

Cell lengths 4.1425, 5.8755, 7.9387 Å; angles 92.78, 105.00, 110.64 degrees
Last column: nearest neighbours and their distance in Å.
Fractional coordinates of all 6 atoms:
Rb (0.2142, 0.2783, 0.1469)  3 As 3.27-3.38, 1 Rb 3.51
Rb (0.7858, 0.7217, 0.8531)  3 As 3.27-3.38, 1 Rb 3.51
Al (0.1041, 0.7474, 0.4604)  3 As 2.57-2.60, 1 Al 2.88
Al (0.8959, 0.2526, 0.5396)  3 As 2.57-2.60, 1 Al 2.88
As (0.4172, 0.1312, 0.7050)  3 Al 2.57-2.60
As (0.5828, 0.8688, 0.2950)  3 Al 2.57-2.60

It is run b that is the most stable of them.

Run a
VASP calculation (PBE) on crystalline RbAlAs at its relaxed geometry.

* V: 29.07 Å³/atom
* density of states at the Fermi level: 0.4 states/eV per cell
* size of the total moment: 0.000 μB per atom

Cell lengths 6.4589, 7.2453, 8.1919 Å; angles 90.00, 114.51, 90.00 degrees
Last column: nearest neighbours and their distance in Å.
Fractional coordinates of all 12 atoms:
Rb (0.2003, 0.1239, 0.3974)  4 As 3.35-3.69, 2 Al 3.39-3.60
Rb (0.2003, 0.3761, 0.8974)  4 As 3.35-3.69, 2 Al 3.39-3.60
Rb (0.7997, 0.6239, 0.1026)  4 As 3.35-3.69, 2 Al 3.39-3.60
Rb (0.7997, 0.8761, 0.6026)  4 As 3.35-3.69, 2 Al 3.39-3.60
Al (0.2910, 0.5903, 0.5645)  3 As 2.53-2.62
Al (0.2910, 0.9097, 0.0645)  3 As 2.53-2.62
Al (0.7090, 0.0903, 0.9355)  3 As 2.53-2.62
Al (0.7090, 0.4097, 0.4355)  3 As 2.53-2.62
As (0.3696, 0.6341, 0.2895)  3 Al 2.53-2.62
As (0.3696, 0.8659, 0.7895)  3 Al 2.53-2.62
As (0.6304, 0.1341, 0.2105)  3 Al 2.53-2.62
As (0.6304, 0.3659, 0.7105)  3 Al 2.53-2.62

Run b
VASP calculation (PBE) on crystalline RbAlAs at its relaxed geometry.

* V: 40.44 Å³/atom
* density of states at the Fermi level: 2.3 states/eV per cell
* size of the total moment: 0.038 μB per atom

Cell lengths 4.1095, 5.3942, 12.0229 Å; angles 94.07, 96.96, 112.37 degrees
Last column: nearest neighbours and their distance in Å.
Fractional coordinates of all 6 atoms:
Rb (0.0000, 0.0000, 0.0000)  3 As 3.41-3.46, 1 Al 3.49
Rb (0.1133, 0.6264, 0.4359)  3 As 3.31-3.36
Al (0.7200, 0.6284, 0.7315)  3 As 2.51-2.55, 1 Al 2.69
Al (0.9601, 0.1414, 0.6854)  3 As 2.55, 1 Al 2.69
As (0.2122, 0.5308, 0.8461)  3 Al 2.55
As (0.4719, 0.2459, 0.5725)  3 Al 2.51-2.55

Run c
VASP calculation (PBE) on crystalline RbAlAs at its relaxed geometry.

* V: 29.97 Å³/atom
* density of states at the Fermi level: 2.0 states/eV per cell
* size of the total moment: 0.000 μB per atom

Cell lengths 4.8105, 4.8105, 7.7708 Å; angles 90.00, 90.00, 90.00 degrees
Last column: nearest neighbours and their distance in Å.
Fractional coordinates of all 6 atoms:
Rb (0.2500, 0.2500, 0.1550)  4 Al 3.60, 6 As 3.71-3.89
Rb (0.7500, 0.7500, 0.8450)  4 Al 3.60, 6 As 3.71-3.89
Al (0.2500, 0.7500, 0.5000)  4 As 2.69
Al (0.7500, 0.2500, 0.5000)  4 As 2.69
As (0.2500, 0.2500, 0.6541)  4 Al 2.69
As (0.7500, 0.7500, 0.3459)  4 Al 2.69

Run d
VASP calculation (PBE) on crystalline RbAlAs at its relaxed geometry.

* V: 31.28 Å³/atom
* density of states at the Fermi level: 1.4 states/eV per cell
* size of the total moment: 0.241 μB per atom

Cell lengths 4.1698, 4.1698, 6.2322 Å; angles 90.00, 90.00, 120.00 degrees
Last column: nearest neighbours and their distance in Å.
Fractional coordinates of all 3 atoms:
Rb (0.0000, 0.0000, 0.0000)  3 As 3.58, 3 Al 3.71
Al (0.3333, 0.6667, 0.5473)  3 As 2.53
As (0.6667, 0.3333, 0.4244)  3 Al 2.53

It is run b that is the most stable of them.

Run a
VASP calculation (PBE) on crystalline Rb2AlAs at its relaxed geometry.

* V: 35.38 Å³/atom
* density of states at the Fermi level: 0.0 states/eV per cell
* size of the total moment: 0.000 μB per atom

Cell lengths 5.8495, 5.8495, 5.8495 Å; angles 60.00, 60.00, 60.00 degrees
Last column: nearest neighbours and their distance in Å.
Fractional coordinates of all 4 atoms:
Rb (0.2500, 0.2500, 0.2500)  4 As 3.58, 4 Al 3.58
Rb (0.7500, 0.7500, 0.7500)  4 Al 3.58, 4 As 3.58
Al (0.0000, 0.0000, 0.0000)  8 Rb 3.58
As (0.5000, 0.5000, 0.5000)  8 Rb 3.58

Run b
VASP calculation (PBE) on crystalline Rb2AlAs at its relaxed geometry.

* V: 35.88 Å³/atom
* density of states at the Fermi level: 5.8 states/eV per cell
* size of the total moment: 0.087 μB per atom

Cell lengths 12.4477, 12.4477, 12.4477 Å; angles 157.30, 157.30, 32.32 degrees
Last column: nearest neighbours and their distance in Å.
Fractional coordinates of all 8 atoms:
Rb (0.1190, 0.6250, 0.9940)  4 Rb 3.42-3.51, 2 As 3.44, 2 Al 3.47
Rb (0.3750, 0.3690, 0.4940)  4 Rb 3.42-3.51, 2 As 3.44, 2 Al 3.47
Rb (0.6310, 0.1250, 0.0060)  4 Rb 3.42-3.51, 2 As 3.44, 2 Al 3.47
Rb (0.8750, 0.8810, 0.5060)  4 Rb 3.42-3.51, 2 As 3.44, 2 Al 3.47
Al (0.2500, 0.7500, 0.5000)  4 As 3.46, 4 Rb 3.47
Al (0.5000, 0.5000, 0.0000)  4 As 3.46, 4 Rb 3.47
As (0.0000, 0.0000, 0.0000)  4 Rb 3.44, 4 Al 3.46
As (0.7500, 0.2500, 0.5000)  4 Rb 3.44, 4 Al 3.46

It is run a that is the most stable of them.

Run a
VASP calculation (PBE) on crystalline AlRe2As at its relaxed geometry.

* V: 15.34 Å³/atom
* density of states at the Fermi level: 4.0 states/eV per cell
* size of the total moment: 0.000 μB per atom

Cell lengths 4.4275, 4.4275, 4.4275 Å; angles 60.00, 60.00, 60.00 degrees
Last column: nearest neighbours and their distance in Å.
Fractional coordinates of all 4 atoms:
Al (0.0000, 0.0000, 0.0000)  4 As 2.71, 4 Re 2.71
Re (0.2500, 0.2500, 0.2500)  4 Re 2.71, 4 Al 2.71
Re (0.5000, 0.5000, 0.5000)  4 As 2.71, 4 Re 2.71
As (0.7500, 0.7500, 0.7500)  4 Re 2.71, 4 Al 2.71

Run b
VASP calculation (PBE) on crystalline AlRe2As at its relaxed geometry.

* V: 14.94 Å³/atom
* density of states at the Fermi level: 2.7 states/eV per cell
* size of the total moment: 0.000 μB per atom

Cell lengths 4.5111, 2.9244, 4.9169 Å; angles 90.00, 112.89, 90.00 degrees
Last column: nearest neighbours and their distance in Å.
Fractional coordinates of all 4 atoms:
Al (0.0000, 0.0000, 0.0000)  6 Re 2.61-2.69, 4 As 2.86
Re (0.5000, 0.0000, 0.5000)  2 Al 2.61, 4 As 2.69, 4 Re 2.86
Re (0.5000, 0.5000, 0.0000)  2 As 2.61, 4 Al 2.69, 4 Re 2.86
As (0.0000, 0.5000, 0.5000)  6 Re 2.61-2.69, 4 Al 2.86

It is run b that is the most stable of them.

Run a
VASP calculation (PBE) on crystalline AlRe2As at its relaxed geometry.

* V: 14.69 Å³/atom
* density of states at the Fermi level: 1.9 states/eV per cell
* size of the total moment: 0.000 μB per atom

Cell lengths 3.1672, 3.1672, 5.8584 Å; angles 90.00, 90.00, 90.00 degrees
Last column: nearest neighbours and their distance in Å.
Fractional coordinates of all 4 atoms:
Al (0.0000, 0.0000, 0.0000)  5 Re 2.56-2.84, 4 As 2.72
Re (0.0000, 0.0000, 0.4848)  4 As 2.59, 1 Al 2.84, 4 Re 2.85
Re (0.5000, 0.5000, 0.7866)  4 Al 2.56, 1 As 2.79, 4 Re 2.85
As (0.5000, 0.5000, 0.2628)  5 Re 2.59-2.79, 4 Al 2.72

Run b
VASP calculation (PBE) on crystalline AlRe2As at its relaxed geometry.

* V: 17.28 Å³/atom
* density of states at the Fermi level: 4.8 states/eV per cell
* size of the total moment: 0.000 μB per atom

Cell lengths 5.8333, 5.8333, 5.8333 Å; angles 100.40, 100.40, 129.71 degrees
Last column: nearest neighbours and their distance in Å.
Fractional coordinates of all 8 atoms:
Al (0.0000, 0.0000, 0.0000)  2 As 2.48
Al (0.7500, 0.2500, 0.5000)  2 As 2.48
Re (0.1923, 0.1250, 0.5673)  2 As 2.39, 2 Re 2.67
Re (0.3750, 0.8077, 0.9327)  2 As 2.39, 2 Re 2.67
Re (0.5577, 0.6250, 0.4327)  2 As 2.39, 2 Re 2.67
Re (0.8750, 0.4423, 0.0673)  2 As 2.39, 2 Re 2.67
As (0.2500, 0.7500, 0.5000)  4 Re 2.39, 2 Al 2.48
As (0.5000, 0.5000, 0.0000)  4 Re 2.39, 2 Al 2.48

It is run a that is the most stable of them.